First-principles (GGA-PBE) data for V2TeP after structural relaxation, as listed in the Alexandria database.

Cell: 5.815 5.815 7.123 Å, 65.91 65.91 90.00°
Fractional positions:
P: 0.500 0.500 0.000
P: 0.250 0.750 0.500
Te: 0.000 0.000 0.000
Te: 0.750 0.250 0.500
V: 0.576 0.125 0.250
V: 0.174 0.625 0.250
V: 0.375 0.424 0.750
V: 0.875 0.826 0.750

Summary:
Total DFT energy (no corrections) (eV/atom): -6.696
Excess energy over the best structure of this formula in the dataset (meV per atom): 26
Raw formation energy (eV per atom): 0.002
Space-group type: I-42d (122)